{"formula": "Dy2GaIr", "functional": "PBE", "state": "optimized geometry", "lattice_angstrom": [[5.827, 0.000, 0.000], [0.000, 4.318, 0.000], [-2.689, 0.000, 7.188]], "species": ["Dy", "Dy", "Dy", "Dy", "Ga", "Ga", "Ir", "Ir"], "frac_coords": [[0.178, 0.250, 0.412], [0.269, 0.750, 0.063], [0.731, 0.250, 0.937], [0.822, 0.750, 0.588], [0.375, 0.750, 0.708], [0.625, 0.250, 0.292], [0.144, 0.250, 0.785], [0.856, 0.750, 0.215]], "crystal_system": "monoclinic", "dos_at_fermi_per_ev_atom": 0.8358}

{"formula": "Dy2Ga3Ir", "functional": "PBE", "state": "optimized geometry", "lattice_angstrom": [[5.203, -2.156, 0.000], [5.203, 2.156, 0.000], [-4.655, 0.000, 5.336]], "species": ["Dy", "Dy", "Ga", "Ga", "Ga", "Ir"], "frac_coords": [[0.000, 0.000, 0.000], [0.098, 0.098, 0.610], [0.383, 0.383, 0.218], [0.706, 0.706, 0.006], [0.717, 0.717, 0.417], [0.390, 0.390, 0.615]], "crystal_system": "monoclinic", "dos_at_fermi_per_ev_atom": 0.5686}

{"formula": "DyGaIr2", "functional": "PBE", "state": "optimized geometry", "lattice_angstrom": [[4.323, 0.000, 0.000], [0.000, 4.323, 0.000], [0.000, 0.000, 3.644]], "species": ["Dy", "Ga", "Ir", "Ir"], "frac_coords": [[0.000, 0.000, 0.000], [0.500, 0.500, 0.000], [0.000, 0.500, 0.500], [0.500, 0.000, 0.500]], "crystal_system": "tetragonal", "dos_at_fermi_per_ev_atom": 0.1352}

{"formula": "DyGa4Ir2", "functional": "PBE", "state": "optimized geometry", "lattice_angstrom": [[7.750, 0.000, 0.000], [0.000, 7.750, 0.000], [0.000, 0.000, 4.140]], "species": ["Dy", "Dy", "Ga", "Ga", "Ga", "Ga", "Ga", "Ga", "Ga", "Ga", "Ir", "Ir", "Ir", "Ir"], "frac_coords": [[0.000, 0.000, 0.000], [0.500, 0.500, 0.500], [0.086, 0.329, 0.500], [0.171, 0.586, 0.000], [0.329, 0.086, 0.500], [0.414, 0.829, 0.000], [0.586, 0.171, 0.000], [0.671, 0.914, 0.500], [0.829, 0.414, 0.000], [0.914, 0.671, 0.500], [0.217, 0.783, 0.500], [0.283, 0.283, 0.000], [0.717, 0.717, 0.000], [0.783, 0.217, 0.500]], "e_above_lowest_polymorph_mev_per_atom": 82, "crystal_system": "tetragonal", "dos_at_fermi_per_ev_atom": 0.4363}

{"formula": "Dy2Ga5Ir4", "functional": "PBE", "state": "optimized geometry", "lattice_angstrom": [[0.000, 4.860, 7.834], [2.666, 0.000, 7.834], [2.666, 4.860, 0.000]], "species": ["Dy", "Dy", "Ga", "Ga", "Ga", "Ga", "Ga", "Ir", "Ir", "Ir", "Ir"], "frac_coords": [[0.160, 0.160, 0.840], [0.840, 0.840, 0.160], [0.000, 0.000, 0.500], [0.250, 0.250, 0.250], [0.500, 0.500, 0.000], [0.500, 0.500, 0.500], [0.750, 0.750, 0.750], [0.221, 0.523, 0.477], [0.477, 0.779, 0.221], [0.523, 0.221, 0.779], [0.779, 0.477, 0.523]], "crystal_system": "orthorhombic", "dos_at_fermi_per_ev_atom": 0.4607}

{"formula": "DyGa12Ir4", "functional": "PBE", "state": "optimized geometry", "lattice_angstrom": [[-4.408, 4.408, 4.408], [4.408, -4.408, 4.408], [4.408, 4.408, -4.408]], "species": ["Dy", "Ga", "Ga", "Ga", "Ga", "Ga", "Ga", "Ga", "Ga", "Ga", "Ga", "Ga", "Ga", "Ir", "Ir", "Ir", "Ir"], "frac_coords": [[0.000, 0.000, 0.000], [0.159, 0.496, 0.337], [0.159, 0.822, 0.663], [0.178, 0.337, 0.841], [0.337, 0.159, 0.496], [0.337, 0.841, 0.178], [0.496, 0.337, 0.159], [0.504, 0.663, 0.841], [0.663, 0.159, 0.822], [0.663, 0.841, 0.504], [0.822, 0.663, 0.159], [0.841, 0.178, 0.337], [0.841, 0.504, 0.663], [0.000, 0.000, 0.500], [0.000, 0.500, 0.000], [0.500, 0.000, 0.000], [0.500, 0.500, 0.500]], "crystal_system": "cubic", "dos_at_fermi_per_ev_atom": 0.3753}

{"formula": "Dy3GaIr2", "functional": "PBE", "state": "optimized geometry", "lattice_angstrom": [[11.731, 0.000, 0.000], [0.000, 3.956, 0.000], [0.000, 0.000, 11.791]], "species": ["Dy", "Dy", "Dy", "Dy", "Dy", "Dy", "Dy", "Dy", "Dy", "Dy", "Dy", "Dy", "Ga", "Ga", "Ga", "Ga", "Ir", "Ir", "Ir", "Ir", "Ir", "Ir", "Ir", "Ir"], "frac_coords": [[0.050, 0.250, 0.122], [0.133, 0.750, 0.572], [0.199, 0.250, 0.822], [0.301, 0.750, 0.322], [0.367, 0.250, 0.072], [0.450, 0.750, 0.622], [0.550, 0.250, 0.378], [0.633, 0.750, 0.928], [0.699, 0.250, 0.678], [0.801, 0.750, 0.178], [0.867, 0.250, 0.428], [0.950, 0.750, 0.878], [0.121, 0.250, 0.373], [0.379, 0.750, 0.873], [0.621, 0.250, 0.127], [0.879, 0.750, 0.627], [0.006, 0.750, 0.309], [0.188, 0.750, 0.992], [0.312, 0.250, 0.492], [0.494, 0.250, 0.809], [0.506, 0.750, 0.191], [0.688, 0.750, 0.508], [0.812, 0.250, 0.008], [0.994, 0.250, 0.691]], "crystal_system": "orthorhombic", "dos_at_fermi_per_ev_atom": 0.5446}

{"formula": "Dy4GaIr2", "functional": "PBE", "state": "optimized geometry", "lattice_angstrom": [[2.439, 1.408, 7.933], [-2.439, 1.408, 7.933], [0.000, -2.816, 7.933]], "species": ["Dy", "Dy", "Dy", "Dy", "Ga", "Ir", "Ir"], "frac_coords": [[0.120, 0.120, 0.120], [0.372, 0.372, 0.372], [0.628, 0.628, 0.628], [0.880, 0.880, 0.880], [0.500, 0.500, 0.500], [0.249, 0.249, 0.249], [0.751, 0.751, 0.751]], "e_above_lowest_polymorph_mev_per_atom": 0, "crystal_system": "trigonal", "dos_at_fermi_per_ev_atom": 0.5421}

{"formula": "Dy2Ga5Ir", "functional": "PBE", "state": "optimized geometry", "lattice_angstrom": [[-3.074, 3.074, 4.187], [3.074, -3.074, 4.187], [3.074, 3.074, -4.187]], "species": ["Dy", "Dy", "Ga", "Ga", "Ga", "Ga", "Ga", "Ir"], "frac_coords": [[0.000, 0.500, 0.500], [0.500, 0.000, 0.500], [0.003, 0.003, 0.000], [0.542, 0.542, 0.574], [0.542, 0.967, 0.000], [0.967, 0.542, 0.000], [0.967, 0.967, 0.426], [0.300, 0.300, 0.000]], "crystal_system": "tetragonal", "dos_at_fermi_per_ev_atom": 0.4392}

{"formula": "Dy3GaIr", "functional": "PBE", "state": "optimized geometry", "lattice_angstrom": [[2.238, -5.666, 0.000], [2.238, 5.666, 0.000], [0.000, 0.000, 10.100]], "species": ["Dy", "Dy", "Dy", "Dy", "Dy", "Dy", "Ga", "Ga", "Ir", "Ir"], "frac_coords": [[0.090, 0.910, 0.750], [0.356, 0.644, 0.556], [0.356, 0.644, 0.944], [0.644, 0.356, 0.056], [0.644, 0.356, 0.444], [0.910, 0.090, 0.250], [0.224, 0.776, 0.250], [0.776, 0.224, 0.750], [0.000, 0.000, 0.000], [0.000, 0.000, 0.500]], "crystal_system": "orthorhombic", "dos_at_fermi_per_ev_atom": 0.7246}

{"formula": "Dy7Ga2Ir2", "functional": "PBE", "state": "optimized geometry", "lattice_angstrom": [[3.977, -5.388, 0.000], [3.977, 5.388, 0.000], [0.000, 0.000, 6.961]], "species": ["Dy", "Dy", "Dy", "Dy", "Dy", "Dy", "Dy", "Ga", "Ga", "Ir", "Ir"], "frac_coords": [[0.000, 0.000, 0.000], [0.000, 0.500, 0.259], [0.000, 0.500, 0.741], [0.500, 0.000, 0.259], [0.500, 0.000, 0.741], [0.500, 0.500, 0.253], [0.500, 0.500, 0.747], [0.167, 0.167, 0.500], [0.833, 0.833, 0.500], [0.290, 0.710, 0.000], [0.710, 0.290, 0.000]], "crystal_system": "orthorhombic", "dos_at_fermi_per_ev_atom": 0.9533}

{"formula": "LaDyGaIr", "functional": "PBE", "state": "optimized geometry", "lattice_angstrom": [[4.347, 0.000, 0.000], [0.000, 2.133, 5.252], [0.000, -2.133, 5.252]], "species": ["La", "Dy", "Ga", "Ir"], "frac_coords": [[0.000, 0.000, 0.000], [0.500, 0.285, 0.285], [0.500, 0.585, 0.585], [0.000, 0.725, 0.725]], "e_above_lowest_polymorph_mev_per_atom": 0, "crystal_system": "orthorhombic", "dos_at_fermi_per_ev_atom": 0.8918}

{"formula": "LaDyGaIr", "functional": "PBE", "state": "optimized geometry", "lattice_angstrom": [[0.000, 3.597, 3.597], [3.597, 0.000, 3.597], [3.597, 3.597, 0.000]], "species": ["La", "Dy", "Ga", "Ir"], "frac_coords": [[0.000, 0.000, 0.000], [0.500, 0.500, 0.500], [0.250, 0.250, 0.250], [0.750, 0.750, 0.750]], "e_above_lowest_polymorph_mev_per_atom": 109, "crystal_system": "cubic", "dos_at_fermi_per_ev_atom": 0.9524}

{"formula": "La2DyGa3Ir4", "functional": "PBE", "state": "optimized geometry", "lattice_angstrom": [[4.300, 0.000, 0.000], [0.000, 4.300, 0.000], [0.000, 0.000, 11.138]], "species": ["La", "La", "Dy", "Ga", "Ga", "Ga", "Ir", "Ir", "Ir", "Ir"], "frac_coords": [[0.000, 0.500, 0.224], [0.500, 0.000, 0.776], [0.000, 0.000, 0.500], [0.000, 0.500, 0.884], [0.500, 0.000, 0.116], [0.500, 0.500, 0.500], [0.000, 0.000, 0.000], [0.000, 0.500, 0.655], [0.500, 0.000, 0.345], [0.500, 0.500, 0.000]], "crystal_system": "tetragonal", "dos_at_fermi_per_ev_atom": 0.6358}

{"formula": "LiDyGa4Ir2", "functional": "PBE", "state": "optimized geometry", "lattice_angstrom": [[2.137, 1.234, 8.321], [-2.137, 1.234, 8.321], [0.000, -2.468, 8.321]], "species": ["Li", "Dy", "Ga", "Ga", "Ga", "Ga", "Ir", "Ir"], "frac_coords": [[0.000, 0.000, 0.000], [0.500, 0.500, 0.500], [0.101, 0.101, 0.101], [0.368, 0.368, 0.368], [0.632, 0.632, 0.632], [0.899, 0.899, 0.899], [0.261, 0.261, 0.261], [0.739, 0.739, 0.739]], "crystal_system": "trigonal", "dos_at_fermi_per_ev_atom": 0.4740}

{"formula": "LiDyGaIr", "functional": "PBE", "state": "optimized geometry", "lattice_angstrom": [[0.000, 3.267, 3.267], [3.267, 0.000, 3.267], [3.267, 3.267, 0.000]], "species": ["Li", "Dy", "Ga", "Ir"], "frac_coords": [[0.000, 0.000, 0.000], [0.750, 0.750, 0.750], [0.250, 0.250, 0.250], [0.500, 0.500, 0.500]], "crystal_system": "cubic", "dos_at_fermi_per_ev_atom": 0.9659}

{"formula": "DyLuGaIr", "functional": "PBE", "state": "optimized geometry", "lattice_angstrom": [[0.000, 3.467, 3.467], [3.467, 0.000, 3.467], [3.467, 3.467, 0.000]], "species": ["Dy", "Lu", "Ga", "Ir"], "frac_coords": [[0.000, 0.000, 0.000], [0.500, 0.500, 0.500], [0.250, 0.250, 0.250], [0.750, 0.750, 0.750]], "crystal_system": "cubic", "dos_at_fermi_per_ev_atom": 0.5160}

{"formula": "Dy2MgGa2Ir5", "functional": "PBE", "state": "optimized geometry", "lattice_angstrom": [[9.793, 0.000, 0.000], [0.000, 9.793, 0.000], [0.000, 0.000, 3.602]], "species": ["Dy", "Dy", "Dy", "Dy", "Mg", "Mg", "Ga", "Ga", "Ga", "Ga", "Ir", "Ir", "Ir", "Ir", "Ir", "Ir", "Ir", "Ir", "Ir", "Ir"], "frac_coords": [[0.174, 0.326, 0.000], [0.326, 0.826, 0.000], [0.674, 0.174, 0.000], [0.826, 0.674, 0.000], [0.000, 0.000, 0.000], [0.500, 0.500, 0.000], [0.125, 0.625, 0.000], [0.375, 0.125, 0.000], [0.625, 0.875, 0.000], [0.875, 0.375, 0.000], [0.000, 0.500, 0.500], [0.066, 0.795, 0.500], [0.205, 0.066, 0.500], [0.295, 0.566, 0.500], [0.434, 0.295, 0.500], [0.500, 0.000, 0.500], [0.566, 0.705, 0.500], [0.705, 0.434, 0.500], [0.795, 0.934, 0.500], [0.934, 0.205, 0.500]], "crystal_system": "tetragonal", "dos_at_fermi_per_ev_atom": 0.6147}

{"formula": "Dy2MgGa3Ir4", "functional": "PBE", "state": "optimized geometry", "lattice_angstrom": [[4.148, 0.000, 0.000], [0.000, 4.148, 0.000], [0.000, 0.000, 10.762]], "species": ["Dy", "Dy", "Mg", "Ga", "Ga", "Ga", "Ir", "Ir", "Ir", "Ir"], "frac_coords": [[0.000, 0.500, 0.235], [0.500, 0.000, 0.765], [0.000, 0.000, 0.500], [0.000, 0.500, 0.873], [0.500, 0.000, 0.127], [0.500, 0.500, 0.500], [0.000, 0.000, 0.000], [0.000, 0.500, 0.646], [0.500, 0.000, 0.354], [0.500, 0.500, 0.000]], "crystal_system": "tetragonal", "dos_at_fermi_per_ev_atom": 0.4435}

{"formula": "DyMgGa2Ir2", "functional": "PBE", "state": "optimized geometry", "lattice_angstrom": [[4.370, 0.000, 0.000], [-2.185, 3.785, 0.000], [0.000, 0.000, 6.519]], "species": ["Dy", "Mg", "Ga", "Ga", "Ir", "Ir"], "frac_coords": [[0.000, 0.000, 0.000], [0.000, 0.000, 0.500], [0.333, 0.667, 0.291], [0.667, 0.333, 0.709], [0.333, 0.667, 0.710], [0.667, 0.333, 0.290]], "crystal_system": "trigonal", "dos_at_fermi_per_ev_atom": 0.3032}

| no. | formation energy (eV/atom) | volume (Å³ per atom) | E (eV/cell) |
| --- | --- | --- | --- |
| 1 | -0.7627 | 22.61 | -48.3 |
| 2 | -0.7474 | 19.95 | -31.6 |
| 3 | -0.5998 | 17.02 | -27.8 |
| 4 | -0.5524 | 17.76 | -76.6 |
| 5 | -0.5886 | 18.45 | -66.3 |
| 6 | -0.1655 | 20.16 | -79.2 |
| 7 | -0.7605 | 22.80 | -156.5 |
| 8 | -0.7108 | 23.35 | -44.1 |
| 9 | -0.4884 | 19.78 | -37.1 |
| 10 | -0.5987 | 25.62 | -57.4 |
| 11 | -0.4749 | 27.12 | -61.2 |
| 12 | -0.6815 | 24.35 | -24.1 |
| 13 | -0.5724 | 23.27 | -23.7 |
| 14 | -0.7388 | 20.60 | -66.4 |
| 15 | -0.5731 | 16.46 | -40.9 |
| 16 | -0.5533 | 17.43 | -20.6 |
| 17 | -0.7176 | 20.84 | -23.9 |
| 18 | -0.5851 | 17.27 | -134.0 |
| 19 | -0.6668 | 18.52 | -62.0 |
| 20 | -0.6553 | 17.97 | -33.9 |